Entry 1:
Zr3TaTl: optimized geometry, PBE.

Properties
DFT formation energy (eV per atom): 0.86
Symmetry: Pm-3m, No. 221
E above lowest polymorph (eV/atom): 0.000

a = 5.1506 Å, b = 5.1506 Å, c = 5.1506 Å
α = 90.00°, β = 90.00°, γ = 90.00°
Element x y z (fractional)
Zr  0.5000  0.0000  0.0000
Zr  0.0000  0.0000  0.5000
Zr  0.0000  0.5000  0.0000
Ta  0.0000  0.0000  0.0000
Tl  0.5000  0.5000  0.5000


Entry 2:
Ge5P6O25: optimized geometry, PBE.

Properties
ΔE_f (raw) (meV per atom): -1932
Symmetry: R-3, No. 148

a = 9.6204 Å, b = 9.6204 Å, c = 9.6204 Å
α = 50.00°, β = 50.00°, γ = 50.00°
Element x y z (fractional)
O  0.5665  0.4073  0.8077
O  0.1923  0.4335  0.5927
O  0.0879  0.7789  0.7316
O  0.9121  0.2211  0.2684
O  0.9069  0.5670  0.8623
O  0.4330  0.1377  0.0931
O  0.7789  0.7316  0.0879
O  0.1377  0.0931  0.4330
O  0.8077  0.5665  0.4073
O  0.4335  0.5927  0.1923
O  0.7316  0.0879  0.7789
O  0.8970  0.9661  0.2611
O  0.4073  0.8077  0.5665
O  0.9661  0.2611  0.8970
O  0.8623  0.9069  0.5670
O  0.2211  0.2684  0.9121
O  0.1030  0.0339  0.7389
O  0.5000  0.5000  0.5000
O  0.7389  0.1030  0.0339
O  0.2684  0.9121  0.2211
O  0.0931  0.4330  0.1377
O  0.5927  0.1923  0.4335
O  0.0339  0.7389  0.1030
O  0.2611  0.8970  0.9661
O  0.5670  0.8623  0.9069
P  0.9302  0.6199  0.1763
P  0.0698  0.3801  0.8237
P  0.3801  0.8237  0.0698
P  0.8237  0.0698  0.3801
P  0.1763  0.9302  0.6199
P  0.6199  0.1763  0.9302
Ge  0.0000  0.0000  0.0000
Ge  0.1773  0.1773  0.1773
Ge  0.5680  0.5680  0.5680
Ge  0.8227  0.8227  0.8227
Ge  0.4320  0.4320  0.4320


Entry 3:
Si2TcHg: optimized geometry, PBE.

Properties
ΔE_f (raw) (meV per atom): 438
Symmetry: Cmm2, No. 35

a = 2.9106 Å, b = 2.9106 Å, c = 8.5996 Å
α = 90.00°, β = 90.00°, γ = 112.68°
Element x y z (fractional)
Tc  0.0000  0.0000  0.4604
Hg  0.5000  0.5000  0.7447
Si  0.5000  0.5000  0.2597
Si  0.0000  0.0000  0.0351


Entry 4:
MnHgSe: optimized geometry, PBE.

Properties
ΔE_f (raw) (meV per atom): 325
Symmetry: F-43m, No. 216
E above lowest polymorph (eV/atom): 0.480

a = 4.7375 Å, b = 4.7375 Å, c = 4.7375 Å
α = 60.00°, β = 60.00°, γ = 60.00°
Each line ends with the local moment (μB).
Element x y z (fractional)
Hg  0.0000  0.0000  0.0000  0.00
Se  0.7500  0.7500  0.7500  0.00
Mn  0.5000  0.5000  0.5000  4.22


Entry 5:
BeSi2Br: optimized geometry, PBE.

Properties
ΔE_f (raw) (meV per atom): 1043
Symmetry: Fm-3m, No. 225
E above lowest polymorph (eV/atom): 0.995

a = 4.5811 Å, b = 4.5811 Å, c = 4.5811 Å
α = 60.00°, β = 60.00°, γ = 60.00°
Element x y z (fractional)
Si  0.2500  0.2500  0.2500
Si  0.7500  0.7500  0.7500
Be  0.0000  0.0000  0.0000
Br  0.5000  0.5000  0.5000


Entry 6:
LaAlAgSb2: optimized geometry, PBE.

Properties
ΔE_f (raw) (meV per atom): 725
Symmetry: P4/mmm, No. 123

a = 6.0223 Å, b = 5.8348 Å, c = 6.0223 Å
α = 90.00°, β = 90.00°, γ = 90.00°
Element x y z (fractional)
La  0.0000  0.0000  0.0000
Sb  0.0000  0.0000  0.5000
Sb  0.5000  0.0000  0.0000
Al  0.5000  0.5000  0.5000
Ag  0.0000  0.5000  0.0000